The following is a DFT calculation (GGA-PBE) of an optimized crystal structure of SmU2Pd9.

a b c (Å): 4.1541 4.1541 12.4584
angles (deg): 90.00 90.00 90.00
Fractional positions:
Pd  0.0000  0.5000  0.8288
Pd  0.5000  0.0000  0.5000
Pd  0.5000  0.5000  0.0000
Pd  0.0000  0.5000  0.1712
Pd  0.5000  0.0000  0.8288
Pd  0.0000  0.5000  0.5000
Pd  0.5000  0.0000  0.1712
Pd  0.5000  0.5000  0.3349
Pd  0.5000  0.5000  0.6651
U  0.0000  0.0000  0.6673
U  0.0000  0.0000  0.3327
Sm  0.0000  0.0000  0.0000

- SG = P4/mmm (123)
- energy of formation from the pure elements (eV/atom) = -0.64
- final energy (Ry/atom) = -0.5002